1:
Here is a relaxed structure of BaCoW2 from Alexandria. Energies are from GGA-PBE.

Cell lengths 3.1065, 4.6089, 5.4718 Å; angles 90.00, 90.00, 90.00 degrees
Site moments in Bohr magnetons follow the coordinates.
Fractional coordinates of all 4 atoms:
Ba 0.5000 0.0000 0.5000  -0.05
Co 0.0000 0.5000 0.5000  1.28
W 0.0000 0.0000 0.0000  0.21
W 0.5000 0.5000 0.0000  0.02

Properties
Its crystal system is orthorhombic.

=====

2:
Here is a relaxed structure of BaCoW2 from Alexandria. Energies are from GGA-PBE.

Cell lengths 4.2056, 4.2056, 6.8010 Å; angles 72.03, 72.03, 59.79 degrees
Site moments in Bohr magnetons follow the coordinates.
Fractional coordinates of all 4 atoms:
Ba 0.7500 0.7500 0.7500  -0.01
Co 0.2500 0.2500 0.2500  0.25
W 0.9465 0.9465 0.1609  0.03
W 0.5535 0.5535 0.3391  0.03

Properties
Its crystal system is monoclinic.

=====

Most stable to least stable, the ends of the list are 2 and 1.

=====

1:
Here is a relaxed structure of BaCoW2 from Alexandria. Energies are from GGA-PBE.

Cell lengths 4.7624, 4.7624, 3.2022 Å; angles 90.00, 90.00, 90.00 degrees
Site moments in Bohr magnetons follow the coordinates.
Fractional coordinates of all 4 atoms:
Ba 0.5000 0.0000 0.5000  0.00
Co 0.0000 0.5000 0.5000  1.25
W 0.0000 0.0000 0.0000  0.03
W 0.5000 0.5000 0.0000  0.03

Properties
Its crystal system is tetragonal.

=====

2:
Here is a relaxed structure of BaCoW2 from Alexandria. Energies are from GGA-PBE.

Cell lengths 5.0638, 5.0638, 8.9771 Å; angles 73.62, 73.62, 90.00 degrees
Fractional coordinates of all 8 atoms:
Co 0.5000 0.5000 0.0000
Co 0.2500 0.7500 0.5000
Ba 0.0000 0.0000 0.0000
Ba 0.7500 0.2500 0.5000
W 0.3748 0.1250 0.2500
W 0.3752 0.6250 0.2500
W 0.3750 0.6252 0.7500
W 0.8750 0.6248 0.7500

Properties
Its crystal system is tetragonal.

=====

Most stable to least stable, the ends of the list are 2 and 1.

=====

1:
Here is a relaxed structure of BaYCo2 from Alexandria. Energies are from GGA-PBE.

Cell lengths 5.0618, 5.0618, 3.5176 Å; angles 90.00, 90.00, 90.00 degrees
Site moments in Bohr magnetons follow the coordinates.
Fractional coordinates of all 4 atoms:
Ba 0.0000 0.5000 0.5000  -0.12
Co 0.0000 0.0000 0.0000  1.25
Co 0.5000 0.5000 0.0000  1.25
Y 0.5000 0.0000 0.5000  -0.26

Properties
Its crystal system is tetragonal.

=====

2:
Here is a relaxed structure of BaYCo2 from Alexandria. Energies are from GGA-PBE.

Cell lengths 3.3761, 3.3761, 8.4938 Å; angles 90.00, 90.00, 90.00 degrees
Site moments in Bohr magnetons follow the coordinates.
Fractional coordinates of all 4 atoms:
Ba 0.5000 0.5000 0.8181  -0.05
Co 0.0000 0.0000 0.0993  1.40
Co 0.5000 0.5000 0.1852  1.46
Y 0.0000 0.0000 0.3974  -0.16

Properties
Its crystal system is tetragonal.

=====

Most stable to least stable, the ends of the list are 2 and 1.

=====

1:
Here is a relaxed structure of BaYCo2 from Alexandria. Energies are from GGA-PBE.

Cell lengths 7.5799, 7.5799, 6.2700 Å; angles 52.81, 52.81, 90.00 degrees
Site moments in Bohr magnetons follow the coordinates.
Fractional coordinates of all 8 atoms:
Y 0.5000 0.5000 0.0000  -0.20
Y 0.2500 0.7500 0.5000  -0.20
Co 0.6049 0.1250 0.2500  0.80
Co 0.1451 0.6250 0.2500  0.80
Co 0.3750 0.3951 0.7500  0.78
Co 0.8750 0.8549 0.7500  0.78
Ba 0.0000 0.0000 0.0000  -0.09
Ba 0.7500 0.2500 0.5000  -0.09

Properties
Its crystal system is tetragonal.

=====

2:
Here is a relaxed structure of BaYCo2 from Alexandria. Energies are from GGA-PBE.

Cell lengths 5.2636, 5.2636, 7.3229 Å; angles 57.49, 57.49, 44.46 degrees
Site moments in Bohr magnetons follow the coordinates.
Fractional coordinates of all 4 atoms:
Ba 0.7500 0.7500 0.7500  -0.05
Co 0.0001 0.0001 0.1895  0.77
Co 0.4999 0.4999 0.3105  0.77
Y 0.2500 0.2500 0.2500  -0.15

Properties
Its crystal system is monoclinic.

=====

Most stable to least stable, the ends of the list are 2 and 1.

=====

1:
Here is a relaxed structure of BaY3Co from Alexandria. Energies are from GGA-PBE.

Cell lengths 5.4570, 5.4570, 5.4570 Å; angles 90.00, 90.00, 90.00 degrees
Fractional coordinates of all 5 atoms:
Y 0.0000 0.5000 0.0000
Y 0.0000 0.0000 0.5000
Y 0.5000 0.0000 0.0000
Co 0.0000 0.0000 0.0000
Ba 0.5000 0.5000 0.5000

Properties
Its crystal system is cubic.

=====

2:
Here is a relaxed structure of BaY3Co from Alexandria. Energies are from GGA-PBE.

Cell lengths 5.5680, 5.5680, 5.5680 Å; angles 90.00, 90.00, 90.00 degrees
Site moments in Bohr magnetons follow the coordinates.
Fractional coordinates of all 5 atoms:
Y 0.0000 0.5000 0.0000  -0.01
Y 0.0000 0.0000 0.5000  0.00
Y 0.5000 0.0000 0.0000  -0.01
Co 0.5000 0.5000 0.5000  0.06
Ba 0.0000 0.0000 0.0000  -0.01

Properties
Its crystal system is cubic.

=====

Most stable to least stable, the ends of the list are 1 and 2.

=====

1:
Here is a relaxed structure of BaCr2 from Alexandria. Energies are from GGA-PBE.

Cell lengths 9.9533, 9.9533, 4.2985 Å; angles 90.00, 90.00, 155.46 degrees
Site moments in Bohr magnetons follow the coordinates.
Fractional coordinates of all 6 atoms:
Ba 0.6048 0.3952 0.7500  0.01
Ba 0.3952 0.6048 0.2500  0.01
Cr 0.8088 0.1912 0.7500  2.67
Cr 0.2495 0.7505 0.7500  -2.41
Cr 0.7505 0.2495 0.2500  -2.41
Cr 0.1912 0.8088 0.2500  2.67

Properties
Its crystal system is orthorhombic.

=====

2:
Here is a relaxed structure of BaCr2 from Alexandria. Energies are from GGA-PBE.

Cell lengths 6.3164, 6.3164, 8.0293 Å; angles 56.05, 56.05, 41.20 degrees
Site moments in Bohr magnetons follow the coordinates.
Fractional coordinates of all 6 atoms:
Ba 0.4386 0.4386 0.8292  0.01
Ba 0.5614 0.5614 0.1708  0.01
Cr 0.2283 0.2283 0.6374  -3.04
Cr 0.8324 0.8324 0.5977  3.16
Cr 0.1676 0.1676 0.4023  3.16
Cr 0.7717 0.7717 0.3626  -3.04

Properties
Its crystal system is monoclinic.

=====

Most stable to least stable, the ends of the list are 1 and 2.